Material: Pr2AlSiNi6
Method: DFT, PBE
State: relaxed

Properties
- ΔE_f (raw): -425 meV per atom
- Size of the total moment: 0.0 Bohr magnetons per cell
- Calculated volume: 16.7 Å³ per atom

Lattice parameters (Å, degrees): 6.185 6.410 6.186 77.82 47.89 96.11
Atoms (fractional coordinates):
Ni1 0.772 0.778 0.493
Pr1 0.253 0.705 0.548
Ni2 0.250 0.094 0.156
Ni3 0.272 0.779 0.994
Pr2 0.747 0.295 0.452
Ni4 0.728 0.221 0.006
Ni5 0.228 0.222 0.507
Si1 0.000 0.000 0.000
Al1 0.500 0.500 0.000
Ni6 0.750 0.906 0.844